# TmHfTh

A relaxed structure of TmHfTh (GGA-PBE, Alexandria).

Computed properties:
Theoretical density   11.45 Mg/m³
Energy of formation from the pure elements   0.34 eV per formula unit
Total DFT energy (no corrections)   -7.1686 eV per atom
SG   No. 107
Energy relative to the lowest polymorph listed for this composition   0 meV per atom
Spin magnetization   0.000 μB/atom

The structure in POSCAR format:
```
TmHfTh
1.0
3.350 0.000 0.000
0.000 3.350 0.000
0.000 0.000 14.983
Tm Hf Th
2 2 2
Direct
0.000 0.000 0.000
0.500 0.500 0.500
0.000 0.000 0.347
0.500 0.500 0.847
0.000 0.000 0.685
0.500 0.500 0.185
```